(1)
The following is a PBE calculation of a relaxed structure of Ho12Er5Cd2, from Alexandria.

a = 9.187 Å, b = 9.187 Å, c = 8.645 Å
α = 100.09°, β = 100.09°, γ = 55.48°
Sites, in units of the cell vectors:
Ho 0.022 0.022 0.185
Ho 0.126 0.535 0.795
Ho 0.180 0.572 0.223
Ho 0.428 0.428 0.585
Ho 0.428 0.820 0.777
Ho 0.465 0.874 0.205
Ho 0.535 0.126 0.795
Ho 0.572 0.180 0.223
Ho 0.572 0.572 0.415
Ho 0.820 0.428 0.777
Ho 0.874 0.465 0.205
Ho 0.978 0.978 0.815
Er 0.201 0.201 0.505
Er 0.205 0.205 0.993
Er 0.500 0.500 0.000
Er 0.795 0.795 0.007
Er 0.799 0.799 0.495
Cd 0.165 0.835 0.500
Cd 0.835 0.165 0.500

Results
Space-group type = C2/m (12)
Formation energy from the elements = 0.117 eV/atom

=====

(2)
The following is a PBE calculation of a relaxed structure of LaBe3Pt, from Alexandria.

a = 7.622 Å, b = 7.622 Å, c = 5.962 Å
α = 109.73°, β = 109.73°, γ = 78.08°
Sites, in units of the cell vectors:
La 0.094 0.249 0.498
La 0.249 0.094 0.998
La 0.751 0.906 0.002
La 0.906 0.751 0.502
Be 0.067 0.571 0.925
Be 0.215 0.511 0.302
Be 0.370 0.493 0.030
Be 0.429 0.933 0.575
Be 0.489 0.785 0.198
Be 0.493 0.370 0.530
Be 0.507 0.630 0.470
Be 0.511 0.215 0.802
Be 0.571 0.067 0.425
Be 0.630 0.507 0.970
Be 0.785 0.489 0.698
Be 0.933 0.429 0.075
Pt 0.196 0.804 0.250
Pt 0.347 0.653 0.750
Pt 0.653 0.347 0.250
Pt 0.804 0.196 0.750

Results
ΔE to the lowest computed polymorph = 157.7 meV/atom
Space-group type = C2/c (15)
Formation energy from the elements = -0.333 eV/atom

=====

(3)
The following is a PBE calculation of a relaxed structure of Ca2AcZn2, from Alexandria.

a = 3.782 Å, b = 5.548 Å, c = 14.472 Å
α = 90.00°, β = 97.64°, γ = 90.00°
Sites, in units of the cell vectors:
Ca 0.045 0.250 0.089
Ca 0.225 0.250 0.450
Ca 0.775 0.750 0.550
Ca 0.955 0.750 0.911
Ac 0.141 0.750 0.276
Ac 0.859 0.250 0.724
Zn 0.363 0.750 0.730
Zn 0.454 0.250 0.909
Zn 0.546 0.750 0.091
Zn 0.637 0.250 0.270

Results
ΔE to the lowest computed polymorph = 0.0 meV/atom
Space-group type = P2_1/m (11)
Formation energy from the elements = -0.165 eV/atom

=====

(4)
The following is a PBE calculation of a relaxed structure of TcAsSBr2, from Alexandria.

a = 4.938 Å, b = 4.938 Å, c = 4.909 Å
α = 90.00°, β = 90.00°, γ = 90.00°
Sites, in units of the cell vectors:
Tc 0.000 0.000 0.000
As 0.000 0.000 0.500
S 0.500 0.500 0.500
Br 0.000 0.500 0.000
Br 0.500 0.000 0.000

Results
Formation energy (no corrections) = 3.30 eV per formula unit
ΔE to the lowest computed polymorph = 0.0 meV/atom
Space-group type = P4/mmm (123)

=====

(5)
The following is a PBE calculation of a relaxed structure of AcPrHoEr, from Alexandria.

a = 3.709 Å, b = 3.709 Å, c = 10.312 Å
α = 90.00°, β = 90.00°, γ = 90.00°
Sites, in units of the cell vectors:
Ac 0.000 0.000 0.000
Pr 0.500 0.500 0.731
Ho 0.500 0.500 0.261
Er 0.000 0.000 0.488

Results
ΔE to the lowest computed polymorph = 0.0 meV/atom
Space-group type = P4mm (99)
Formation energy from the elements = 0.057 eV/atom

=====

(6)
The following is a PBE calculation of a relaxed structure of Y3Ag3SnSe8, from Alexandria.

a = 8.130 Å, b = 8.130 Å, c = 8.146 Å
α = 119.19°, β = 119.19°, γ = 60.89°
Sites, in units of the cell vectors:
Y 0.000 0.000 0.000
Y 0.000 0.500 0.500
Y 0.500 0.000 0.500
Ag 0.000 0.500 0.000
Ag 0.500 0.000 0.000
Ag 0.500 0.500 0.500
Sn 0.500 0.500 0.000
Se 0.247 0.247 0.254
Se 0.260 0.260 0.762
Se 0.260 0.737 0.239
Se 0.263 0.740 0.761
Se 0.737 0.260 0.239
Se 0.740 0.263 0.761
Se 0.740 0.740 0.238
Se 0.753 0.753 0.746

Results
Formation energy (no corrections) = -14.90 eV per formula unit
Space-group type = C2/m (12)

=====

(7)
The following is a PBE calculation of a relaxed structure of PmPrAl2Ga2, from Alexandria.

a = 4.338 Å, b = 4.338 Å, c = 8.558 Å
α = 90.00°, β = 90.00°, γ = 120.00°
Sites, in units of the cell vectors:
Pm 0.000 0.000 0.000
Pr 0.000 0.000 0.500
Al 0.333 0.667 0.247
Al 0.667 0.333 0.753
Ga 0.333 0.667 0.755
Ga 0.667 0.333 0.245

Results
Space-group type = P-3m1 (164)
Formation energy from the elements = -0.596 eV/atom

=====

(8)
The following is a PBE calculation of a relaxed structure of Ti4Cr2Hg, from Alexandria.

a = 5.041 Å, b = 5.041 Å, c = 11.448 Å
α = 90.00°, β = 90.00°, γ = 90.00°
Sites, in units of the cell vectors:
Ti 0.000 0.000 0.230
Ti 0.000 0.000 0.770
Ti 0.000 0.500 0.000
Ti 0.000 0.500 0.500
Ti 0.500 0.000 0.000
Ti 0.500 0.000 0.500
Ti 0.500 0.500 0.270
Ti 0.500 0.500 0.730
Cr 0.000 0.000 0.407
Cr 0.000 0.000 0.593
Cr 0.500 0.500 0.093
Cr 0.500 0.500 0.907
Hg 0.000 0.000 0.000
Hg 0.500 0.500 0.500

Results
Space-group type = I4/mmm (139)
Formation energy from the elements = 1.120 eV/atom

=====

(9)
The following is a PBE calculation of a relaxed structure of Cu2ReAg, from Alexandria.

a = 3.758 Å, b = 3.788 Å, c = 7.974 Å
α = 90.00°, β = 90.00°, γ = 90.00°
Sites, in units of the cell vectors:
Cu 0.000 0.000 0.240
Cu 0.000 0.000 0.760
Cu 0.500 0.500 0.240
Cu 0.500 0.500 0.760
Re 0.000 0.500 0.000
Re 0.500 0.000 0.000
Ag 0.000 0.500 0.500
Ag 0.500 0.000 0.500

Results
ΔE to the lowest computed polymorph = 0.0 meV/atom
Space-group type = Cmmm (65)
Formation energy from the elements = 0.262 eV/atom

=====

(10)
The following is a PBE calculation of a relaxed structure of Ga2CoAu, from Alexandria.

a = 6.180 Å, b = 6.180 Å, c = 6.180 Å
α = 90.00°, β = 90.00°, γ = 90.00°
Sites, in units of the cell vectors:
Ga 0.250 0.250 0.250
Ga 0.250 0.250 0.750
Ga 0.250 0.750 0.250
Ga 0.250 0.750 0.750
Ga 0.750 0.250 0.250
Ga 0.750 0.250 0.750
Ga 0.750 0.750 0.250
Ga 0.750 0.750 0.750
Co 0.000 0.000 0.000
Co 0.000 0.500 0.500
Co 0.500 0.000 0.500
Co 0.500 0.500 0.000
Au 0.000 0.000 0.500
Au 0.000 0.500 0.000
Au 0.500 0.000 0.000
Au 0.500 0.500 0.500

Results
ΔE to the lowest computed polymorph = 140.7 meV/atom
Space-group type = Fm-3m (225)
Formation energy from the elements = 0.005 eV/atom

=====

(11)
The following is a PBE calculation of a relaxed structure of CsKRb14, from Alexandria.

a = 10.321 Å, b = 10.321 Å, c = 13.687 Å
α = 90.00°, β = 90.00°, γ = 90.00°
Sites, in units of the cell vectors:
Cs 0.000 0.000 0.000
K 0.500 0.500 0.000
Rb 0.000 0.000 0.500
Rb 0.000 0.500 0.000
Rb 0.000 0.500 0.500
Rb 0.255 0.255 0.251
Rb 0.255 0.255 0.749
Rb 0.255 0.745 0.251
Rb 0.255 0.745 0.749
Rb 0.500 0.000 0.000
Rb 0.500 0.000 0.500
Rb 0.500 0.500 0.500
Rb 0.745 0.255 0.251
Rb 0.745 0.255 0.749
Rb 0.745 0.745 0.251
Rb 0.745 0.745 0.749

Results
Space-group type = P4/mmm (123)
Formation energy from the elements = 0.006 eV/atom

=====

(12)
The following is a PBE calculation of a relaxed structure of CuMoAs, from Alexandria.

a = 5.942 Å, b = 5.942 Å, c = 5.942 Å
α = 90.00°, β = 90.00°, γ = 90.00°
Sites, in units of the cell vectors:
Cu 0.000 0.000 0.000
Cu 0.000 0.500 0.500
Cu 0.500 0.000 0.500
Cu 0.500 0.500 0.000
Mo 0.250 0.250 0.250
Mo 0.250 0.750 0.750
Mo 0.750 0.250 0.750
Mo 0.750 0.750 0.250
As 0.000 0.000 0.500
As 0.000 0.500 0.000
As 0.500 0.000 0.000
As 0.500 0.500 0.500

Results
ΔE to the lowest computed polymorph = 256.0 meV/atom
Space-group type = F-43m (216)
Formation energy from the elements = 0.417 eV/atom